Here is a relaxed structure of Ce6AgPt2 from Alexandria via LeMat-Bulk. Energies are from PBE-GGA.

a b c (Å): 5.9787 7.7440 9.7896
angles (deg): 90.00 92.97 90.00
Positions (direct):
Ce 0.8638 0.9994 0.1990
Ce 0.8789 0.6334 0.5531
Ce 0.9037 0.6961 0.9112
Ce 0.5963 0.1961 0.5888
Ce 0.6211 0.1334 0.9469
Ce 0.6362 0.4994 0.3010
Ce 0.1362 0.0006 0.8010
Ce 0.1211 0.3666 0.4469
Ce 0.0963 0.3039 0.0888
Ce 0.4037 0.8039 0.4112
Ce 0.3789 0.8666 0.0531
Ce 0.3638 0.5006 0.6990
Ag 0.5000 0.5000 0.0000
Ag 0.0000 0.0000 0.5000
Pt 0.9251 0.3530 0.7866
Pt 0.5749 0.8530 0.7134
Pt 0.4251 0.1470 0.2866
Pt 0.0749 0.6470 0.2134

Output
Crystal system: monoclinic
Formation energy in meV/atom: -363
Density of states at the Fermi level in states/eV per atom: 2.637
DFT total energy in eV per cell: -107.60
Size of the total moment in μB per atom: 0.2907
Space group: P2_1/c (14)